Entry 1:
A plane-wave DFT calculation with PBE was carried out for a relaxed KIn2CuSn crystal.

Structure (extended XYZ):
```
5
Lattice="5.257 0.000 0.000 0.000 5.257 0.000 0.000 0.000 5.267" Properties=species:S:1:pos:R:3 pbc="T T T"
K 0.000 0.000 0.000
In 0.000 2.629 2.634
In 2.629 0.000 2.634
Cu 2.629 2.629 2.634
Sn 2.629 2.629 0.000
```

Raw total energy, eV per atom: -2.868
Magnetic moment, μB/f.u.: 0.00
E_form, meV per atom: 67

Entry 2:
A plane-wave DFT calculation with PBE was carried out for a relaxed KIn2CuTc crystal.

Structure (extended XYZ):
```
5
Lattice="5.021 0.000 0.000 0.000 5.021 0.000 0.000 0.000 5.395" Properties=species:S:1:pos:R:3 pbc="T T T"
K 0.000 0.000 0.000
In 0.000 2.511 2.697
In 2.511 0.000 2.697
Cu 0.000 0.000 2.697
Tc 2.511 2.511 0.000
```

Raw total energy, eV per atom: -3.221
Magnetic moment, μB/f.u.: 3.52
E_form, meV per atom: 986

Entry 3:
A plane-wave DFT calculation with PBE was carried out for a relaxed KInCuTc2 crystal.

Structure (extended XYZ):
```
5
Lattice="4.595 0.000 0.000 0.000 4.595 0.000 0.000 0.000 5.396" Properties=species:S:1:pos:R:3 pbc="T T T"
K 0.000 0.000 0.000
In 0.000 0.000 2.698
Cu 2.298 2.298 2.698
Tc 0.000 2.298 0.000
Tc 2.298 0.000 0.000
```

Raw total energy, eV per atom: -2.974
Magnetic moment, μB/f.u.: 2.56
E_form, meV per atom: 2758

Entry 4:
A plane-wave DFT calculation with PBE was carried out for a relaxed KIn2CuTe4 crystal.

Structure (extended XYZ):
```
8
Lattice="-3.378 3.378 6.625 3.378 -3.378 6.625 3.378 3.378 -6.625" Properties=species:S:1:pos:R:3 pbc="T T T"
K 0.000 0.000 0.000
In 3.378 0.000 3.313
In 0.000 3.378 3.313
Cu 0.000 0.000 6.625
Te 1.969 1.969 -1.710
Te 1.409 -1.409 8.336
Te 1.409 1.409 4.915
Te -1.409 1.409 8.336
```

Raw total energy, eV per atom: -3.267
Magnetic moment, μB/f.u.: 0.00
Raw formation energy, eV/atom: -0.362

Entry 5:
A plane-wave DFT calculation with PBE was carried out for a relaxed KTi2InCu crystal.

Structure (extended XYZ):
```
5
Lattice="5.424 0.000 0.000 0.000 5.424 0.000 0.000 0.000 5.027" Properties=species:S:1:pos:R:3 pbc="T T T"
K 0.000 0.000 0.000
Ti 0.000 2.712 2.514
Ti 2.712 0.000 2.514
In 2.712 2.712 2.514
Cu 2.712 2.712 0.000
```

Raw total energy, eV per atom: -3.702
Magnetic moment, μB/f.u.: 5.20
E_form, meV per atom: 1043

Entry 6:
A plane-wave DFT calculation with PBE was carried out for a relaxed KTl2InCu crystal.

Structure (extended XYZ):
```
5
Lattice="5.407 0.000 0.000 0.000 5.407 0.000 0.000 0.000 5.244" Properties=species:S:1:pos:R:3 pbc="T T T"
K 0.000 0.000 0.000
Tl 0.000 2.703 2.622
Tl 2.703 0.000 2.622
In 2.703 2.703 0.000
Cu 2.703 2.703 2.622
```

Raw total energy, eV per atom: -2.465
Magnetic moment, μB/f.u.: 0.00
E_form, meV per atom: 68

Entry 7:
A plane-wave DFT calculation with PBE was carried out for a relaxed KZn2InCu crystal.

Structure (extended XYZ):
```
5
Lattice="4.898 0.000 0.000 0.000 4.898 0.000 0.000 0.000 5.072" Properties=species:S:1:pos:R:3 pbc="T T T"
K 0.000 0.000 0.000
Zn 0.000 2.449 2.536
Zn 2.449 0.000 2.536
In 2.449 2.449 0.000
Cu 2.449 2.449 2.536
```

Raw total energy, eV per atom: -1.992
Magnetic moment, μB/f.u.: 0.00
E_form, meV per atom: 104

Entry 8:
A plane-wave DFT calculation with PBE was carried out for a relaxed KZnIn2Cu crystal.

Structure (extended XYZ):
```
5
Lattice="5.195 0.000 0.000 0.000 5.195 0.000 0.000 0.000 4.936" Properties=species:S:1:pos:R:3 pbc="T T T"
K 0.000 0.000 0.000
Zn 2.598 2.598 0.000
In 0.000 2.598 2.468
In 2.598 0.000 2.468
Cu 2.598 2.598 2.468
```

Raw total energy, eV per atom: -2.307
Magnetic moment, μB/f.u.: 0.00
E_form, meV per atom: 82